{
  "formula": "MgV2O6",
  "functional": "PBE+U",
  "state": "optimized geometry",
  "lattice_angstrom": [[5.639, 0.000, 0.000], [0.000, 2.600, 4.839], [0.000, -2.600, 4.839]],
  "species": ["Mg", "V", "V", "O", "O", "O", "O", "O", "O"],
  "fractional_positions": [[0.000, 0.000, 0.000], [0.500, 0.120, 0.120], [0.500, 0.490, 0.490], [0.000, 0.799, 0.799], [0.286, 0.294, 0.818], [0.286, 0.818, 0.294], [0.500, 0.307, 0.307], [0.714, 0.294, 0.818], [0.714, 0.818, 0.294]],
  "relative_energy_ev_per_fu": 3.76,
  "magmom_total_mub_per_atom": 0.235,
  "final_energy_ev_per_atom": -6.792
}